# 1
Below is a relaxed RbBa2Tl6 crystal, with properties calculated at the PBE level.

Output
* size of the total moment: 0.00 μB/f.u.
* formation energy: -0.229 eV per atom
* uncorrected energy: -2.342 eV/atom
* DOS at the Fermi energy: 5.91 states/eV/cell

Lattice parameters (Å, degrees): 9.6239 9.6239 4.0599 90.00 90.00 120.00
Space group P6/mmm (No. 191)
One atom of each set of equivalent atoms:
Rb 0.0000 0.0000 0.0000
Ba 0.3333 0.6667 0.0000
Tl 0.0000 0.3358 0.5000



# 2
Below is a relaxed RbBa2Tl2 crystal, with properties calculated at the PBE level.

Output
* excess energy over the best structure of this formula in the dataset: 0.43 eV/f.u.
* size of the total moment: 0.00 μB/f.u.
* formation energy: -0.141 eV per atom
* uncorrected energy: -2.051 eV/atom
* DOS at the Fermi energy: 9.47 states/eV/cell

Lattice parameters (Å, degrees): 6.703 6.703 10.992 90.00 90.00 90.00
Space group I4/mmm (No. 139)
One atom of each set of equivalent atoms:
Rb 0.000 0.000 0.000
Ba 0.000 0.500 0.250
Tl 0.000 0.000 0.368



# 3
Below is a relaxed RbBaTl3 crystal, with properties calculated at the PBE level.

Output
* excess energy over the best structure of this formula in the dataset: 0.41 eV/f.u.
* size of the total moment: 0.00 μB/f.u.
* formation energy: 0.374 eV per atom
* uncorrected energy: -1.624 eV/atom
* DOS at the Fermi energy: 8.20 states/eV/cell

Lattice parameters (Å, degrees): 6.271 6.271 6.271 90.00 90.00 90.00
Space group Pm-3m (No. 221)
One atom of each set of equivalent atoms:
Rb 0.000 0.000 0.000
Ba 0.500 0.500 0.500
Tl 0.000 0.000 0.500



# 4
Below is a relaxed RbBa2Tl9 crystal, with properties calculated at the PBE level.

Output
* size of the total moment: 0.00 μB/f.u.
* formation energy: -0.190 eV per atom
* uncorrected energy: -2.366 eV/atom
* DOS at the Fermi energy: 13.24 states/eV/cell

Lattice parameters (Å, degrees): 6.6499 6.6499 33.1539 90.00 90.00 120.00
Space group R-3m (No. 166, hexagonal axes)
One atom of each set of equivalent atoms:
Rb 0.0000 0.0000 0.0000
Ba 0.0000 0.0000 0.1387
Tl 0.0000 0.0000 0.3357
Tl 0.0000 0.0000 0.5000
Tl 0.0040 0.5020 0.9154



# 5
Below is a relaxed RbBa2Tl2 crystal, with properties calculated at the PBE level.

Output
* excess energy over the best structure of this formula in the dataset: 0.00 eV/f.u.
* size of the total moment: 0.00 μB/f.u.
* formation energy: -0.227 eV per atom
* uncorrected energy: -2.136 eV/atom
* DOS at the Fermi energy: 10.64 states/eV/cell

Lattice parameters (Å, degrees): 10.239 10.239 4.357 90.00 90.00 90.00
Space group P4/mbm (No. 127)
One atom of each set of equivalent atoms:
Rb 0.000 0.000 0.000
Ba 0.160 0.340 0.500
Tl 0.130 0.630 0.000



# 6
Below is a relaxed RbBa5Tl4 crystal, with properties calculated at the PBE level.

Output
* size of the total moment: 0.00 μB/f.u.
* formation energy: -0.324 eV per atom
* uncorrected energy: -2.329 eV/atom
* DOS at the Fermi energy: 6.90 states/eV/cell

Lattice parameters (Å, degrees): 4.339 4.339 24.658 90.00 90.00 90.00
Space group P4/mmm (No. 123)
One atom of each set of equivalent atoms:
Rb 0.000 0.000 0.000
Ba 0.500 0.500 0.160
Ba 0.500 0.500 0.327
Ba 0.500 0.500 0.500
Tl 0.000 0.000 0.239
Tl 0.000 0.000 0.413



# 7
Below is a relaxed RbBa4Tl5 crystal, with properties calculated at the PBE level.

Output
* size of the total moment: 0.00 μB/f.u.
* formation energy: -0.319 eV per atom
* uncorrected energy: -2.368 eV/atom
* DOS at the Fermi energy: 7.50 states/eV/cell

Lattice parameters (Å, degrees): 4.307 4.307 22.042 90.00 90.00 90.00
Space group P4/mmm (No. 123)
One atom of each set of equivalent atoms:
Rb 0.000 0.000 0.000
Ba 0.000 0.000 0.208
Ba 0.000 0.000 0.402
Tl 0.500 0.500 0.116
Tl 0.500 0.500 0.303
Tl 0.500 0.500 0.500



# 8
Below is a relaxed RbBaTl6 crystal, with properties calculated at the PBE level.

Output
* size of the total moment: 0.00 μB/f.u.
* formation energy: -0.168 eV per atom
* uncorrected energy: -2.304 eV/atom
* DOS at the Fermi energy: 6.25 states/eV/cell

Lattice parameters (Å, degrees): 5.344 7.918 13.597 90.00 90.00 90.00
Space group Amm2 (No. 38)
One atom of each set of equivalent atoms:
Rb 0.000 0.000 0.000
Ba 0.500 0.000 0.670
Tl 0.000 0.000 0.482
Tl 0.000 0.217 0.262
Tl 0.500 0.000 0.189
Tl 0.500 0.216 0.408



# 9
Below is a relaxed RbBa3Tl2 crystal, with properties calculated at the PBE level.

Output
* size of the total moment: 0.00 μB/f.u.
* formation energy: -0.269 eV per atom
* uncorrected energy: -2.181 eV/atom
* DOS at the Fermi energy: 3.73 states/eV/cell

Lattice parameters (Å, degrees): 4.370 4.370 15.940 90.00 90.00 90.00
Space group P4/mmm (No. 123)
One atom of each set of equivalent atoms:
Rb 0.000 0.000 0.000
Ba 0.500 0.500 0.244
Ba 0.500 0.500 0.500
Tl 0.000 0.000 0.366



# 10
Below is a relaxed RbBaTl2W crystal, with properties calculated at the PBE level.

Output
* size of the total moment: 2.50 μB/f.u.
* formation energy: 1.442 eV per atom
* uncorrected energy: -2.674 eV/atom
* DOS at the Fermi energy: 5.67 states/eV/cell

Lattice parameters (Å, degrees): 6.448 6.448 5.635 90.00 90.00 90.00
Space group P4/mmm (No. 123)
One atom of each set of equivalent atoms:
Rb 0.000 0.000 0.000
Ba 0.500 0.500 0.500
Tl 0.000 0.500 0.500
W 0.500 0.500 0.000



# 11
Below is a relaxed RbBa2TlW crystal, with properties calculated at the PBE level.

Output
* size of the total moment: 4.88 μB/f.u.
* formation energy: 1.317 eV per atom
* uncorrected energy: -2.709 eV/atom
* DOS at the Fermi energy: 4.31 states/eV/cell

Lattice parameters (Å, degrees): 6.647 6.647 6.650 90.00 90.00 90.00
Space group P4/mmm (No. 123)
One atom of each set of equivalent atoms:
Rb 0.000 0.000 0.000
Ba 0.000 0.500 0.500
Tl 0.000 0.000 0.500
W 0.500 0.500 0.000



# 12
Below is a relaxed RbBaV2 crystal, with properties calculated at the PBE level.

Output
* excess energy over the best structure of this formula in the dataset: 0.00 eV/f.u.
* size of the total moment: 9.10 μB/f.u.
* formation energy: 1.438 eV per atom
* uncorrected energy: -3.844 eV/atom
* DOS at the Fermi energy: 34.18 states/eV/cell

Lattice parameters (Å, degrees): 8.441 8.441 8.441 90.00 90.00 90.00
Space group Fm-3m (No. 225)
One atom of each set of equivalent atoms:
Rb 0.000 0.000 0.000
Ba 0.000 0.000 0.500
V 0.250 0.250 0.250



# 13
Below is a relaxed Rb2BaV crystal, with properties calculated at the PBE level.

Output
* excess energy over the best structure of this formula in the dataset: 0.26 eV/f.u.
* size of the total moment: 4.78 μB/f.u.
* formation energy: 0.990 eV per atom
* uncorrected energy: -2.254 eV/atom
* DOS at the Fermi energy: 37.54 states/eV/cell

Lattice parameters (Å, degrees): 9.423 9.423 9.423 90.00 90.00 90.00
Space group Fm-3m (No. 225)
One atom of each set of equivalent atoms:
Rb 0.250 0.250 0.250
Ba 0.000 0.000 0.000
V 0.000 0.000 0.500



# 14
Below is a relaxed RbBaV2 crystal, with properties calculated at the PBE level.

Output
* excess energy over the best structure of this formula in the dataset: 0.95 eV/f.u.
* size of the total moment: 0.00 μB/f.u.
* formation energy: 1.677 eV per atom
* uncorrected energy: -3.605 eV/atom
* DOS at the Fermi energy: 20.03 states/eV/cell

Lattice parameters (Å, degrees): 4.664 4.664 23.732 90.00 90.00 90.00
Space group I-42d (No. 122)
One atom of each set of equivalent atoms:
Rb 0.000 0.000 0.000
Ba 0.000 0.000 0.500
V 0.015 0.250 0.625



# 15
Below is a relaxed RbBa2V crystal, with properties calculated at the PBE level.

Output
* excess energy over the best structure of this formula in the dataset: 0.00 eV/f.u.
* size of the total moment: 5.57 μB/f.u.
* formation energy: 0.729 eV per atom
* uncorrected energy: -2.754 eV/atom
* DOS at the Fermi energy: 23.26 states/eV/cell

Lattice parameters (Å, degrees): 9.093 9.093 9.093 90.00 90.00 90.00
Space group Fm-3m (No. 225)
One atom of each set of equivalent atoms:
Rb 0.000 0.000 0.000
Ba 0.250 0.250 0.250
V 0.000 0.000 0.500



# 16
Below is a relaxed RbBaV3 crystal, with properties calculated at the PBE level.

Output
* excess energy over the best structure of this formula in the dataset: 0.00 eV/f.u.
* size of the total moment: 12.97 μB/f.u.
* formation energy: 2.245 eV per atom
* uncorrected energy: -3.804 eV/atom
* DOS at the Fermi energy: 9.50 states/eV/cell

Lattice parameters (Å, degrees): 5.737 5.737 5.737 90.00 90.00 90.00
Space group Pm-3m (No. 221)
One atom of each set of equivalent atoms:
Rb 0.000 0.000 0.000
Ba 0.500 0.500 0.500
V 0.000 0.000 0.500



# 17
Below is a relaxed RbBa2V crystal, with properties calculated at the PBE level.

Output
* excess energy over the best structure of this formula in the dataset: 0.36 eV/f.u.
* size of the total moment: 5.45 μB/f.u.
* formation energy: 0.820 eV per atom
* uncorrected energy: -2.663 eV/atom
* DOS at the Fermi energy: 17.40 states/eV/cell

Lattice parameters (Å, degrees): 10.494 10.494 8.364 90.00 90.00 90.00
Space group I-42d (No. 122)
One atom of each set of equivalent atoms:
Rb 0.000 0.000 0.000
Ba 0.171 0.250 0.625
V 0.000 0.000 0.500



# 18
Below is a relaxed RbBaV3 crystal, with properties calculated at the PBE level.

Output
* excess energy over the best structure of this formula in the dataset: 0.16 eV/f.u.
* size of the total moment: 14.07 μB/f.u.
* formation energy: 2.276 eV per atom
* uncorrected energy: -3.773 eV/atom
* DOS at the Fermi energy: 11.13 states/eV/cell

Lattice parameters (Å, degrees): 6.117 6.117 6.117 90.00 90.00 90.00
Space group Pm-3m (No. 221)
One atom of each set of equivalent atoms:
Rb 0.000 0.000 0.000
Ba 0.500 0.500 0.500
V 0.000 0.500 0.500



# 19
Below is a relaxed Rb2BaV crystal, with properties calculated at the PBE level.

Output
* excess energy over the best structure of this formula in the dataset: 0.00 eV/f.u.
* size of the total moment: 4.98 μB/f.u.
* formation energy: 0.924 eV per atom
* uncorrected energy: -2.320 eV/atom
* DOS at the Fermi energy: 28.30 states/eV/cell

Lattice parameters (Å, degrees): 5.411 5.411 29.986 90.00 90.00 90.00
Space group I-42d (No. 122)
One atom of each set of equivalent atoms:
Rb 0.228 0.250 0.125
Ba 0.000 0.000 0.500
V 0.000 0.000 0.000



# 20
Below is a relaxed Rb2BaZrV crystal, with properties calculated at the PBE level.

Output
* size of the total moment: 1.45 μB/f.u.
* formation energy: 1.188 eV per atom
* uncorrected energy: -3.117 eV/atom
* DOS at the Fermi energy: 5.51 states/eV/cell

Lattice parameters (Å, degrees): 7.006 7.006 4.778 90.00 90.00 90.00
Space group P4/mmm (No. 123)
One atom of each set of equivalent atoms:
Rb 0.000 0.500 0.000
Ba 0.000 0.000 0.500
Zr 0.500 0.500 0.000
V 0.500 0.500 0.500